This record from Alexandria via LeMat-Bulk describes a relaxed structure of MnCuIr2. The functional is PBE-GGA.

Results
- density of states at the Fermi level (states/eV per cell) = 3.9
- energy relative to the elements (meV per atom) = 94
- total energy (eV/atom) = -7.6530

```
data_MnCuIr2
_cell_length_a 2.693
_cell_length_b 4.375
_cell_length_c 4.749
_cell_angle_alpha 90.00
_cell_angle_beta 92.04
_cell_angle_gamma 90.00
_symmetry_space_group_name_H-M 'P 1 2/m 1'
_symmetry_Int_Tables_number 10
loop_
_symmetry_equiv_pos_as_xyz
'x,y,z'
'-x,-y,-z'
'-x,y,-z'
'x,-y,z'
loop_
_atom_site_label
_atom_site_type_symbol
_atom_site_fract_x
_atom_site_fract_y
_atom_site_fract_z
Mn1 Mn 0.000 0.000 0.000
Cu1 Cu 0.500 0.000 0.500
Ir1 Ir 0.253 0.500 0.745
```